Entry 1:
The following is a PBE calculation of a relaxed structure of CePmLu2, from Alexandria via LeMat-Bulk.

a b c (Å): 5.616 5.616 5.616
angles (deg): 60.00 60.00 60.00
Element x y z (fractional)
Ce 0.000 0.000 0.000
Pm 0.500 0.500 0.500
Lu 0.250 0.250 0.250
Lu 0.750 0.750 0.750

Computed properties:
Offset from the most stable computed form = 69.9 meV/atom
Theoretical density = 8.42 g cm⁻³
E_tot = -4.81 eV per atom
E_form = 0.124 eV/atom
Density of states at the Fermi level = 7.99 states/eV/f.u.

***

Entry 2:
The following is a PBE calculation of a relaxed structure of SrPr5, from Alexandria via LeMat-Bulk.

a b c (Å): 3.770 3.770 16.270
angles (deg): 90.00 90.00 90.00
Element x y z (fractional)
Sr 0.000 0.000 0.000
Pr 0.000 0.000 0.339
Pr 0.000 0.000 0.661
Pr 0.500 0.500 0.186
Pr 0.500 0.500 0.500
Pr 0.500 0.500 0.814

Computed properties:
Offset from the most stable computed form = 0.0 meV/atom
Theoretical density = 5.69 g cm⁻³
E_tot = -4.21 eV per atom
E_form = 0.052 eV/atom
Density of states at the Fermi level = 8.63 states/eV/f.u.